4
Lattice="3.345 0.000 0.000 0.000 4.441 0.000 -1.262 0.000 5.617" Properties=species:S:1:pos:R:3 comment="Zr2ScPt PBE-GGA relaxed" total_energy_ev_per_atom=-7.804 delta_e_f_kj_per_mol_fu=-169 polymorph_energy_mev_per_atom=141 pbc="T T T"
Zr -0.123 0.000 1.506
Zr 2.206 0.000 4.111
Sc 1.672 2.220 0.000
Pt 1.041 2.220 2.808

***

4
Lattice="3.167 0.000 0.000 0.000 4.804 0.000 0.000 0.000 5.272" Properties=species:S:1:pos:R:3 comment="CdInAg2 PBE-GGA relaxed" total_energy_ev_per_atom=-2.359 delta_e_f_kj_per_mol_fu=-8 pbc="T T T"
Cd 0.000 0.000 0.000
In 0.000 2.402 3.319
Ag 1.584 0.000 2.541
Ag 1.584 2.402 0.734

***

12
Lattice="9.614 0.000 0.000 0.000 4.512 0.000 0.000 0.000 6.621" Properties=species:S:1:pos:R:3 comment="TlHgPd PBE-GGA relaxed" total_energy_ev_per_atom=-2.716 delta_e_f_kj_per_mol_fu=-28 polymorph_energy_mev_per_atom=45 pbc="T T T"
Tl 0.981 1.128 1.250
Tl 3.826 3.384 4.560
Tl 5.788 1.128 2.061
Tl 8.634 3.384 5.371
Hg 1.593 1.128 4.786
Hg 3.214 3.384 1.476
Hg 6.400 1.128 5.145
Hg 8.021 3.384 1.835
Pd 0.938 3.384 3.140
Pd 3.869 1.128 6.451
Pd 5.745 3.384 0.170
Pd 8.676 1.128 3.481

***

4
Lattice="3.601 0.000 0.000 0.000 3.601 0.000 0.000 0.000 6.809" Properties=species:S:1:pos:R:3 comment="Y2CuSe PBE-GGA relaxed" e_form_raw_ev_per_atom=-0.785 total_energy_ev_per_atom=-5.913 polymorph_energy_mev_per_atom=240 pbc="T T T"
Y 0.000 0.000 1.659
Y 0.000 0.000 5.150
Cu 1.801 1.801 0.000
Se 1.801 1.801 3.404

***

4
Lattice="0.000 3.543 3.543 3.543 0.000 3.543 3.543 3.543 0.000" Properties=species:S:1:pos:R:3 comment="AlInGaHg PBE-GGA relaxed" total_energy_ev_per_atom=-2.265 delta_e_f_kj_per_mol_fu=72 pbc="T T T"
Al 0.000 0.000 0.000
In 3.543 3.543 3.543
Ga 5.314 5.314 5.314
Hg 1.771 1.771 1.771

***

5
Lattice="-1.859 1.859 13.634 1.859 -1.859 13.634 1.859 1.859 -13.634" Properties=species:S:1:pos:R:3 comment="Cs2Ta2Bi PBE-GGA relaxed" total_energy_ev_per_atom=-5.096 delta_e_f_kj_per_mol_fu=368 polymorph_energy_mev_per_atom=0 pbc="T T T"
Cs 0.000 0.000 2.984
Cs 0.000 0.000 24.285
Ta 1.859 0.000 6.817
Ta 0.000 1.859 6.817
Bi 0.000 0.000 13.634

***

4
Lattice="4.776 0.000 0.000 0.000 4.776 0.000 0.000 0.000 4.400" Properties=species:S:1:pos:R:3 comment="PmZnSb2 PBE-GGA relaxed" e_form_raw_ev_per_atom=-0.473 total_energy_ev_per_atom=-4.040 polymorph_energy_mev_per_atom=84 pbc="T T T"
Pm 0.000 0.000 0.000
Zn 2.388 2.388 0.000
Sb 0.000 2.388 2.200
Sb 2.388 0.000 2.200

***

6
Lattice="-1.301 1.301 12.492 1.301 -1.301 12.492 1.301 1.301 -12.492" Properties=species:S:1:pos:R:3 comment="Cu2W PBE-GGA relaxed" total_energy_ev_per_atom=-6.671 delta_e_f_kj_per_mol_fu=109 pbc="T T T"
Cu 1.301 0.650 1.077
Cu 1.301 0.650 5.169
Cu 0.000 0.650 7.323
Cu 0.000 0.650 11.416
W 1.301 -0.650 9.369
W 0.000 1.951 3.123

***

Number 1: size of the total moment 0.0 μB/f.u.. Number 2: size of the total moment 0.0 μB/f.u.. Number 3: size of the total moment 0.0 μB/f.u.. Number 4: size of the total moment 0.5 μB/f.u.. Number 5: size of the total moment 0.0 μB/f.u.. Number 6: size of the total moment 0.0 μB/f.u.. Number 7: size of the total moment 0.0 μB/f.u.. Number 8: size of the total moment 0.0 μB/f.u..